{"formula": "Ho4MgRu", "functional": "GGA-PBE", "state": "optimized geometry", "lattice_angstrom": [[-0.9790, 4.6347, 0.4525], [-2.3022, -0.0796, -4.1651], [-6.8373, -1.8133, 3.8105]], "species": ["Ho", "Ho", "Ho", "Ho", "Ru", "Mg"], "fractional_positions": [[0.5015, 0.9976, 0.7021], [0.5011, 0.9969, 0.2941], [0.0011, 0.4970, 0.2942], [0.0015, 0.4976, 0.7021], [0.0013, 0.9974, 0.4981], [0.5013, 0.4972, 0.9983]], "volume_a3_per_atom": 30.33, "final_energy_ev_per_atom": -4.84, "e_form_ev_per_atom": 0.028, "polymorph_energy_mev_per_atom": 283.6}